# MoN2OF (GGA+U, optimized geometry)
data_MoN2OF
_symmetry_space_group_name_H-M 'P 1'
_symmetry_Int_Tables_number 1
_symmetry_space_group_name_Hall 'P 1'
_cell_length_a 4.058
_cell_length_b 4.058
_cell_length_c 3.844
_cell_angle_alpha 90.00
_cell_angle_beta 90.00
_cell_angle_gamma 90.00
loop_
_atom_site_label
_atom_site_type_symbol
_atom_site_fract_x
_atom_site_fract_y
_atom_site_fract_z
Mo1 Mo 0.000 0.000 0.000
N1 N 0.000 0.500 0.000
N2 N 0.500 0.000 0.000
O1 O 0.000 0.000 0.500
F1 F 0.500 0.500 0.500
# magnetization	0.562	μB/atom
# Fermi-level density of states	1.100	states/eV per atom
# raw total energy	-5.66	eV per atom